# LiCo2O4, relaxed, DFT GGA+U
# * D(E_F): 3.6 states/eV/cell
# * polymorph energy (0 for the lowest one): 77 meV per atom
# * volume: 201.3 Å³ per cell
data_LiCo2O4
_cell_length_a 2.8248
_cell_length_b 2.8248
_cell_length_c 29.1336
_cell_angle_alpha 90.00
_cell_angle_beta 90.00
_cell_angle_gamma 120.00
_space_group_name_H-M_alt 'R 3 m'
_space_group_IT_number 160
_space_group_name_Hall 'R 3 -2"'
loop_
_atom_site_label
_atom_site_type_symbol
_atom_site_fract_x
_atom_site_fract_y
_atom_site_fract_z
Li1 Li 0.0000 0.0000 0.0000
Co1 Co 0.0000 0.0000 0.0858
Co2 Co 0.0000 0.0000 0.5854
O1 O 0.0000 0.0000 0.2890
O2 O 0.0000 0.0000 0.4494
O3 O 0.0000 0.0000 0.7154
O4 O 0.0000 0.0000 0.8883